(1)
VASP calculation (PBE) on a relaxed TbPdPb crystal.

abc: 4.814 4.814 6.924
angles: 90.00 90.00 120.00
Fractional coordinates of all 6 atoms:
Tb 0.000 0.000 0.000
Tb 0.000 0.000 0.500
Pd 0.333 0.667 0.250
Pd 0.667 0.333 0.750
Pb 0.333 0.667 0.750
Pb 0.667 0.333 0.250

Calculated values
calculated density = 11.3 g/cm3
magnetic moment = 0.02 μB/cell
crystal system = hexagonal
uncorrected energy = -31.0 eV/cell


(2)
VASP calculation (PBE) on a relaxed TbTmPd2Pb crystal.

abc: 3.586 7.759 7.759
angles: 31.84 90.00 90.00
Fractional coordinates of all 5 atoms:
Tb 0.000 0.000 0.000
Tm 0.000 0.728 0.728
Pd 0.500 0.174 0.174
Pd 0.500 0.559 0.559
Pb 0.500 0.364 0.364

Calculated values
calculated density = 10.9 g/cm3
magnetic moment = 0.01 μB/cell
crystal system = orthorhombic
uncorrected energy = -27.2 eV/cell


(3)
VASP calculation (PBE) on a relaxed TbYPd2Pb crystal.

abc: 3.642 7.782 7.782
angles: 31.67 90.00 90.00
Fractional coordinates of all 5 atoms:
Tb 0.000 0.000 0.000
Y 0.000 0.731 0.731
Pd 0.500 0.172 0.172
Pd 0.500 0.556 0.556
Pb 0.500 0.364 0.364

Calculated values
calculated density = 9.6 g/cm3
magnetic moment = 0.01 μB/cell
crystal system = orthorhombic
uncorrected energy = -29.2 eV/cell


(4)
VASP calculation (PBE) on a relaxed Tb2YPd3Pb3 crystal.

abc: 3.883 7.852 7.852
angles: 120.05 90.00 90.00
Fractional coordinates of all 9 atoms:
Tb 0.000 0.201 0.799
Tb 0.000 0.799 0.201
Y 0.000 0.399 0.399
Pd 0.000 0.799 0.799
Pd 0.500 0.132 0.466
Pd 0.500 0.466 0.132
Pb 0.500 0.066 0.066
Pb 0.500 0.533 0.799
Pb 0.500 0.799 0.533

Calculated values
calculated density = 10.8 g/cm3
magnetic moment = 0.01 μB/cell
crystal system = orthorhombic
uncorrected energy = -49.0 eV/cell


(5)
VASP calculation (PBE) on a relaxed TbY2Pd3Pb3 crystal.

abc: 3.870 7.855 7.855
angles: 119.95 90.00 90.00
Fractional coordinates of all 9 atoms:
Tb 0.000 0.000 0.000
Y 0.000 0.401 0.801
Y 0.000 0.801 0.401
Pd 0.000 0.401 0.401
Pd 0.500 0.068 0.735
Pd 0.500 0.735 0.068
Pb 0.500 0.134 0.401
Pb 0.500 0.401 0.134
Pb 0.500 0.667 0.667

Calculated values
calculated density = 10.3 g/cm3
magnetic moment = 0.01 μB/cell
crystal system = orthorhombic
uncorrected energy = -50.8 eV/cell


(6)
VASP calculation (PBE) on a relaxed TcPdPb crystal.

abc: 4.478 4.478 4.478
angles: 60.00 60.00 60.00
Fractional coordinates of all 3 atoms:
Tc 0.000 0.000 0.000
Pd 0.250 0.250 0.250
Pb 0.750 0.750 0.750

Calculated values
calculated density = 10.8 g/cm3
magnetic moment = 1.72 μB/cell
crystal system = cubic
uncorrected energy = -17.5 eV/cell


(7)
VASP calculation (PBE) on a relaxed Tc2PdPb crystal.

abc: 4.570 4.570 4.570
angles: 60.00 60.00 60.00
Fractional coordinates of all 4 atoms:
Tc 0.000 0.000 0.000
Tc 0.250 0.250 0.250
Pd 0.750 0.750 0.750
Pb 0.500 0.500 0.500

Calculated values
calculated density = 12.5 g/cm3
magnetic moment = 0.46 μB/cell
crystal system = cubic
uncorrected energy = -27.6 eV/cell


(8)
VASP calculation (PBE) on a relaxed TePdPb crystal.

abc: 4.934 4.934 4.934
angles: 60.00 60.00 60.00
Fractional coordinates of all 3 atoms:
Te 0.000 0.000 0.000
Pd 0.250 0.250 0.250
Pb 0.750 0.750 0.750

Calculated values
calculated density = 8.6 g/cm3
crystal system = cubic
uncorrected energy = -12.0 eV/cell


Please write out number 4 again, unchanged.
VASP calculation (PBE) on a relaxed Tb2YPd3Pb3 crystal.

abc: 3.883 7.852 7.852
angles: 120.05 90.00 90.00
Fractional coordinates of all 9 atoms:
Tb 0.000 0.201 0.799
Tb 0.000 0.799 0.201
Y 0.000 0.399 0.399
Pd 0.000 0.799 0.799
Pd 0.500 0.132 0.466
Pd 0.500 0.466 0.132
Pb 0.500 0.066 0.066
Pb 0.500 0.533 0.799
Pb 0.500 0.799 0.533

Calculated values
calculated density = 10.8 g/cm3
magnetic moment = 0.01 μB/cell
crystal system = orthorhombic
uncorrected energy = -49.0 eV/cell


Which of these has the highest calculated density? Tc2PdPb


Among the records above, which one has the lowest calculated density? TePdPb


What is the uncorrected energy in the sixth record? -17.5 eV/cell